A geometry-optimized V2NiNO structure. Source: the Alexandria database, functional GGA+U.

Computed properties:
The calculation puts the energy relative to the lowest polymorph listed for this composition at 1.01 eV per formula unit. The crystal system is tetragonal. The calculation puts the volume at 57 Å³/cell.

Cell lengths 3.893, 3.893, 3.786 Å; angles 90.00, 90.00, 90.00 degrees
Space group P4/mmm (No. 123)
Unique sites:
V: 0.000 0.500 0.000 (multiplicity 2)
Ni: 0.000 0.000 0.500 (multiplicity 1)
N: 0.500 0.500 0.000 (multiplicity 1)
O: 0.500 0.500 0.500 (multiplicity 1)